1.
Al2NiRu: optimized geometry, GGA-PBEsol.

space group	P4/mmm
formation energy from the elements	-0.721	eV/atom

Cell: 4.0670 4.0670 3.0092 Å, 90.00 90.00 90.00°
Last column: nearest neighbours and their distance in Å.
Element x y z (fractional)
Al (0.0000, 0.5000, 0.0000)  4 Ru 2.53, 4 Ni 2.53
Al (0.5000, 0.0000, 0.0000)  4 Ru 2.53, 4 Ni 2.53
Ni (0.0000, 0.0000, 0.5000)  8 Al 2.53
Ru (0.5000, 0.5000, 0.5000)  8 Al 2.53

---

2.
Al2NiRu: optimized geometry, GGA-PBEsol.

space group	F-43m
formation energy from the elements	-0.250	eV/atom

Cell: 4.1793 4.1793 4.1793 Å, 60.00 60.00 60.00°
Last column: nearest neighbours and their distance in Å.
Element x y z (fractional)
Al (0.0000, 0.0000, 0.0000)  4 Ru 2.56, 4 Al 2.56
Al (0.2500, 0.2500, 0.2500)  4 Ni 2.56, 4 Al 2.56
Ni (0.5000, 0.5000, 0.5000)  4 Ru 2.56, 4 Al 2.56
Ru (0.7500, 0.7500, 0.7500)  4 Ni 2.56, 4 Al 2.56

---

3.
Y3AlNiS7: optimized geometry, GGA-PBEsol.

space group	P6_3
ΔE_f (raw)	-155.11	kJ/mol of atoms

Cell: 9.5390 9.5390 6.1681 Å, 90.00 90.00 120.00°
Last column: nearest neighbours and their distance in Å.
Element x y z (fractional)
Y (0.1508, 0.3756, 0.0000)  7 S 2.75-2.94
Y (0.2248, 0.8492, 0.0000)  7 S 2.75-2.94
Y (0.3756, 0.2248, 0.5000)  7 S 2.75-2.94
Y (0.6244, 0.7752, 0.0000)  7 S 2.75-2.94
Y (0.7752, 0.1508, 0.5000)  7 S 2.75-2.94
Y (0.8492, 0.6244, 0.5000)  7 S 2.75-2.94
Al (0.3333, 0.6667, 0.4311)  4 S 2.23-2.25
Al (0.6667, 0.3333, 0.9311)  4 S 2.23-2.25
Ni (0.0000, 0.0000, 0.3286)  6 S 2.40-2.53
Ni (0.0000, 0.0000, 0.8286)  6 S 2.40-2.53
S (0.0893, 0.5708, 0.2736)  1 Al 2.25
S (0.0976, 0.2314, 0.5955)  2 Ni 2.40-2.53
S (0.1338, 0.9024, 0.5955)  2 Ni 2.40-2.53
S (0.2314, 0.1338, 0.0955)  2 Ni 2.40-2.53
S (0.3333, 0.6667, 0.7919)  1 Al 2.23
S (0.4292, 0.5185, 0.2736)  1 Al 2.25
S (0.4815, 0.9107, 0.2736)  1 Al 2.25
S (0.5185, 0.0893, 0.7736)  1 Al 2.25
S (0.5708, 0.4815, 0.7736)  1 Al 2.25
S (0.6667, 0.3333, 0.2919)  1 Al 2.23
S (0.7686, 0.8662, 0.5955)  2 Ni 2.40-2.53
S (0.8662, 0.0976, 0.0955)  2 Ni 2.40-2.53
S (0.9024, 0.7686, 0.0955)  2 Ni 2.40-2.53
S (0.9107, 0.4292, 0.7736)  1 Al 2.25